The following is a PBE calculation of YMgP2H after structural relaxation, from the Alexandria database.

CIF file:
```
data_YMgP2H
_chemical_formula_sum 'Y1 Mg1 P2 H1'
_cell_length_a 5.097
_cell_length_b 5.097
_cell_length_c 3.422
_cell_angle_alpha 90.00
_cell_angle_beta 90.00
_cell_angle_gamma 90.00
_space_group_name_H-M_alt 'P 4/m m m'
_space_group_IT_number 123
_space_group_name_Hall '-P 4 2'
loop_
_atom_site_label
_atom_site_type_symbol
_atom_site_fract_x
_atom_site_fract_y
_atom_site_fract_z
_atom_site_occupancy
Y1 Y 0.000 0.000 0.000 1
Mg1 Mg 0.500 0.500 0.500 1
P1 P 0.000 0.500 0.500 1
H1 H 0.500 0.500 0.000 1
```

# LiCe2ErS6, optimized geometry, DFT PBE
# E_form (uncorrected) = -1.72 eV per atom
data_LiCe2ErS6
_chemical_formula_sum 'Li3 Ce6 Er3 S18'
_cell_length_a 6.8744
_cell_length_b 6.8744
_cell_length_c 18.3685
_cell_angle_alpha 90.00
_cell_angle_beta 90.00
_cell_angle_gamma 120.00
_space_group_name_H-M_alt 'R 3'
_space_group_IT_number 146
_space_group_name_Hall 'R 3'
loop_
_atom_site_label
_atom_site_type_symbol
_atom_site_fract_x
_atom_site_fract_y
_atom_site_fract_z
_atom_site_occupancy
Li1 Li 0.0000 0.0000 0.0000 1
Ce1 Ce 0.0000 0.0000 0.2980 1
Ce2 Ce 0.0000 0.0000 0.7998 1
Er1 Er 0.0000 0.0000 0.4974 1
S1 S 0.0014 0.2994 0.3973 1
S2 S 0.0348 0.6740 0.5642 1

# Re2Tc2Ru, optimized geometry, DFT PBE
# energy of formation = 0.09 eV per atom
data_Re2Tc2Ru
_chemical_formula_sum 'Re4 Tc4 Ru2'
_cell_length_a 2.736
_cell_length_b 6.665
_cell_length_c 8.767
_cell_angle_alpha 108.85
_cell_angle_beta 90.03
_cell_angle_gamma 101.76
_space_group_name_H-M_alt 'P -1'
_space_group_IT_number 2
loop_
_space_group_symop_operation_xyz
'x,y,z'
'-x,-y,-z'
loop_
_atom_site_label
_atom_site_type_symbol
_atom_site_fract_x
_atom_site_fract_y
_atom_site_fract_z
_atom_site_occupancy
Re1 Re 0.047 0.090 0.154 1
Re2 Re 0.348 0.695 0.031 1
Tc1 Tc 0.066 0.127 0.651 1
Tc2 Tc 0.349 0.697 0.564 1
Ru1 Ru 0.249 0.500 0.252 1

# DyHo2TmSb4, optimized geometry, DFT PBE
# E_form (uncorrected) = -1.11 eV per atom
data_DyHo2TmSb4
_chemical_formula_sum 'Dy1 Ho2 Tm1 Sb4'
_cell_length_a 7.556
_cell_length_b 4.366
_cell_length_c 7.558
_cell_angle_alpha 90.00
_cell_angle_beta 109.47
_cell_angle_gamma 90.00
_space_group_name_H-M_alt 'P 1 2/m 1'
_space_group_IT_number 10
loop_
_space_group_symop_operation_xyz
'x,y,z'
'-x,-y,-z'
'-x,y,-z'
'x,-y,z'
loop_
_atom_site_label
_atom_site_type_symbol
_atom_site_fract_x
_atom_site_fract_y
_atom_site_fract_z
_atom_site_occupancy
Dy1 Dy 0.000 0.000 0.000 1
Ho1 Ho 0.500 0.000 0.500 1
Ho2 Ho 0.500 0.500 0.000 1
Tm1 Tm 0.000 0.500 0.500 1
Sb1 Sb 0.249 0.000 0.748 1
Sb2 Sb 0.250 0.500 0.251 1

Number 1: calculated total energy -0.1715 hartree per atom, total magnetic moment 0.00 μB/f.u.. Number 2: calculated total energy -0.2215 hartree per atom, total magnetic moment 0.00 μB/f.u.. Number 3: calculated total energy -0.4002 hartree per atom, total magnetic moment 0.00 μB/f.u.. Number 4: calculated total energy -0.2001 hartree per atom, total magnetic moment 0.00 μB/f.u..